# RbBaSi

A relaxed structure of RbBaSi (PBE-GGA, Alexandria).

CIF file:
```
data_RbBaSi
_space_group_name_H-M_alt 'C m c m'
_space_group_IT_number 63
_space_group_name_Hall '-C 2c 2'
_cell_length_a 4.706
_cell_length_b 30.973
_cell_length_c 4.166
_cell_angle_alpha 90.00
_cell_angle_beta 90.00
_cell_angle_gamma 90.00
loop_
_atom_site_label
_atom_site_fract_x
_atom_site_fract_y
_atom_site_fract_z
Rb1 0.000 0.185 0.250
Ba1 0.000 0.440 0.250
Si1 0.000 0.022 0.250
```

Results
Spin magnetization (μB per formula unit): 0.0
Total energy (eV/cell): -36.0


# CeCr2Si2

A relaxed structure of CeCr2Si2 (PBE-GGA, Alexandria).

CIF file:
```
data_CeCr2Si2
_space_group_name_H-M_alt 'I 4/m m m'
_space_group_IT_number 139
_space_group_name_Hall '-I 4 2'
_cell_length_a 3.926
_cell_length_b 3.926
_cell_length_c 10.606
_cell_angle_alpha 90.00
_cell_angle_beta 90.00
_cell_angle_gamma 90.00
loop_
_atom_site_label
_atom_site_fract_x
_atom_site_fract_y
_atom_site_fract_z
Ce1 0.000 0.000 0.000
Cr1 0.000 0.500 0.250
Si1 0.000 0.000 0.382
```

Results
Spin magnetization (μB per formula unit): 2.0
Total energy (eV/cell): -75.9


# HfCrFe2Pt

A relaxed structure of HfCrFe2Pt (PBE-GGA, Alexandria).

CIF file:
```
data_HfCrFe2Pt
_space_group_name_H-M_alt 'P 4/m m m'
_space_group_IT_number 123
_space_group_name_Hall '-P 4 2'
_cell_length_a 4.125
_cell_length_b 4.125
_cell_length_c 4.775
_cell_angle_alpha 90.00
_cell_angle_beta 90.00
_cell_angle_gamma 90.00
loop_
_atom_site_label
_atom_site_fract_x
_atom_site_fract_y
_atom_site_fract_z
Hf1 0.000 0.000 0.000
Cr1 0.000 0.000 0.500
Fe1 0.000 0.500 0.500
Pt1 0.500 0.500 0.000
```

Results
Spin magnetization (μB per formula unit): 1.7
Total energy (eV/cell): -38.9


# PmMgScPt2

A relaxed structure of PmMgScPt2 (PBE-GGA, Alexandria).

CIF file:
```
data_PmMgScPt2
_space_group_name_H-M_alt 'I -4 m 2'
_space_group_IT_number 119
_space_group_name_Hall 'I -4 -2'
_cell_length_a 4.177
_cell_length_b 4.177
_cell_length_c 12.344
_cell_angle_alpha 90.00
_cell_angle_beta 90.00
_cell_angle_gamma 90.00
loop_
_atom_site_label
_atom_site_fract_x
_atom_site_fract_y
_atom_site_fract_z
Pm1 0.000 0.000 0.000
Mg1 0.000 0.500 0.250
Sc1 0.000 0.500 0.750
Pt1 0.000 0.000 0.390
```

Results
Spin magnetization (μB per formula unit): 0.0
Total energy (eV/cell): -59.2


# LiWBr

A relaxed structure of LiWBr (PBE-GGA, Alexandria).

CIF file:
```
data_LiWBr
_space_group_name_H-M_alt 'F -4 3 m'
_space_group_IT_number 216
_space_group_name_Hall 'F -4 2 3'
_cell_length_a 5.919
_cell_length_b 5.919
_cell_length_c 5.919
_cell_angle_alpha 90.00
_cell_angle_beta 90.00
_cell_angle_gamma 90.00
loop_
_atom_site_label
_atom_site_fract_x
_atom_site_fract_y
_atom_site_fract_z
Li1 0.000 0.000 0.000
W1 0.000 0.000 0.500
Br1 0.250 0.250 0.750
```

Results
Spin magnetization (μB per formula unit): 0.0
Total energy (eV/cell): -51.6


# Ba2NaGe3Au12

A relaxed structure of Ba2NaGe3Au12 (PBE-GGA, Alexandria).

CIF file:
```
data_Ba2NaGe3Au12
_space_group_name_H-M_alt 'R -3 m'
_space_group_IT_number 166
_space_group_name_Hall '-R 3 2"'
_cell_length_a 9.7044
_cell_length_b 9.7044
_cell_length_c 16.7776
_cell_angle_alpha 90.00
_cell_angle_beta 90.00
_cell_angle_gamma 120.00
loop_
_atom_site_label
_atom_site_fract_x
_atom_site_fract_y
_atom_site_fract_z
Ba1 0.0000 0.0000 0.1183
Na1 0.0000 0.0000 0.5000
Ge1 0.0000 0.5000 0.0000
Au1 0.0077 0.5038 0.1501
Au2 0.0207 0.5103 0.3248
```

Results
Spin magnetization (μB per formula unit): 0.0
Total energy (eV/cell): -180.8


# K2LiH2Se2O6

A relaxed structure of K2LiH2Se2O6 (PBE-GGA, Alexandria).

CIF file:
```
data_K2LiH2Se2O6
_space_group_name_H-M_alt 'P 1'
_space_group_IT_number 1
_cell_length_a 5.150
_cell_length_b 6.816
_cell_length_c 7.718
_cell_angle_alpha 114.73
_cell_angle_beta 90.63
_cell_angle_gamma 109.62
loop_
_space_group_symop_operation_xyz
'x,y,z'
loop_
_atom_site_label
_atom_site_fract_x
_atom_site_fract_y
_atom_site_fract_z
K1 0.000 0.000 0.000
K2 0.311 0.675 0.559
Li1 0.716 0.397 0.143
H1 0.307 0.330 0.734
H2 0.547 0.121 0.838
Se1 0.321 0.631 0.052
Se2 0.654 0.186 0.435
O1 0.138 0.469 0.160
O2 0.199 0.435 0.791
O3 0.432 0.133 0.587
O4 0.528 0.071 0.940
O5 0.652 0.644 0.089
O6 0.682 0.443 0.432
```

Results
Spin magnetization (μB per formula unit): 1.0
Total energy (eV/cell): -63.4


# CdCuRe2

A relaxed structure of CdCuRe2 (PBE-GGA, Alexandria).

CIF file:
```
data_CdCuRe2
_space_group_name_H-M_alt 'C 1 m 1'
_space_group_IT_number 8
_cell_length_a 8.985
_cell_length_b 2.747
_cell_length_c 5.119
_cell_angle_alpha 90.00
_cell_angle_beta 97.16
_cell_angle_gamma 90.00
loop_
_space_group_symop_operation_xyz
'x,y,z'
'x,-y,z'
'x+1/2,y+1/2,z'
'x+1/2,-y+1/2,z'
loop_
_atom_site_label
_atom_site_fract_x
_atom_site_fract_y
_atom_site_fract_z
Cd1 0.000 0.000 0.000
Cu1 0.248 0.000 0.786
Re1 0.006 0.500 0.505
Re2 0.255 0.500 0.321
```

Results
Spin magnetization (μB per formula unit): 0.0
Total energy (eV/cell): -56.1


# BeVSb2

A relaxed structure of BeVSb2 (PBE-GGA, Alexandria).

CIF file:
```
data_BeVSb2
_space_group_name_H-M_alt 'R -3 m'
_space_group_IT_number 166
_space_group_name_Hall '-R 3 2"'
_cell_length_a 3.3371
_cell_length_b 3.3371
_cell_length_c 25.5908
_cell_angle_alpha 90.00
_cell_angle_beta 90.00
_cell_angle_gamma 120.00
loop_
_atom_site_label
_atom_site_fract_x
_atom_site_fract_y
_atom_site_fract_z
Be1 0.0000 0.0000 0.0000
V1 0.0000 0.0000 0.5000
Sb1 0.0000 0.0000 0.0930
```

Results
Spin magnetization (μB per formula unit): 0.0
Total energy (eV/cell): -58.7


# PrZrRe4

A relaxed structure of PrZrRe4 (PBE-GGA, Alexandria).

CIF file:
```
data_PrZrRe4
_space_group_name_H-M_alt 'F -4 3 m'
_space_group_IT_number 216
_space_group_name_Hall 'F -4 2 3'
_cell_length_a 7.668
_cell_length_b 7.668
_cell_length_c 7.668
_cell_angle_alpha 90.00
_cell_angle_beta 90.00
_cell_angle_gamma 90.00
loop_
_atom_site_label
_atom_site_fract_x
_atom_site_fract_y
_atom_site_fract_z
Pr1 0.000 0.000 0.000
Zr1 0.250 0.250 0.250
Re1 0.125 0.125 0.625
```

Results
Spin magnetization (μB per formula unit): 0.0
Total energy (eV/cell): -253.1